[1]
This record from the Open Quantum Materials Database describes a relaxed structure of PrCuTc. The functional is PBE-GGA.

The space group is F-43m (No. 216) and the conventional cell measures 6.489, 6.489 and 6.489 Å, with angles of 90.00, 90.00 and 90.00 degrees. Symmetry generates all atoms from Pr at (0.000, 0.000, 0.000), Cu at (0.250, 0.250, 0.750) and Tc at (0.250, 0.250, 0.250).

As for the magnetization: 1.3 μB/f.u. Its formation energy from the elements is 1236 meV/atom.



[2]
This record from the Open Quantum Materials Database describes a relaxed structure of FeReAsPd. The functional is PBE-GGA.

The space group is F-43m (No. 216) and the conventional cell measures 6.096, 6.096 and 6.096 Å, with angles of 90.00, 90.00 and 90.00 degrees. Symmetry generates all atoms from Fe at (0.000, 0.000, 0.000), Re at (0.000, 0.000, 0.500), As at (0.250, 0.250, 0.750) and Pd at (0.250, 0.250, 0.250).

As for the magnetization: 2.3 μB/f.u. As for the distance to the lowest polymorph of the same formula: 0.000 eV/atom.



[3]
This record from the Open Quantum Materials Database describes a relaxed structure of HoHgGe. The functional is PBE-GGA.

The space group is F-43m (No. 216) and the conventional cell measures 6.697, 6.697 and 6.697 Å, with angles of 90.00, 90.00 and 90.00 degrees. Symmetry generates all atoms from Ho at (0.000, 0.000, 0.000), Hg at (0.000, 0.000, 0.500) and Ge at (0.250, 0.250, 0.750).

Its electronic total energy is -3.4719 eV/atom. As for the magnetization: 0.0 μB/f.u.



[4]
This record from the Open Quantum Materials Database describes a relaxed structure of Er4Tm2LuNi2Te2. The functional is PBE-GGA.

The space group is Imm2 (No. 44) and the conventional cell measures 3.822, 15.428 and 9.505 Å, with angles of 90.00, 90.00 and 90.00 degrees. Symmetry generates all atoms from Er at (0.000, 0.146, 0.000), Er at (0.000, 0.185, 0.649), Tm at (0.000, 0.366, 0.853), Lu at (0.000, 0.500, 0.272), Ni at (0.000, 0.263, 0.341), Te at (0.000, 0.000, 0.505) and Te at (0.000, 0.500, 0.610).

As for the magnetization: 0.0 μB/f.u. As for the distance to the lowest polymorph of the same formula: 0.003 eV/atom.



[5]
This record from the Open Quantum Materials Database describes a relaxed structure of ZrZnFeGe. The functional is PBE-GGA.

The space group is F-43m (No. 216) and the conventional cell measures 6.322, 6.322 and 6.322 Å, with angles of 90.00, 90.00 and 90.00 degrees. Symmetry generates all atoms from Zr at (0.000, 0.000, 0.000), Zn at (0.250, 0.250, 0.750), Fe at (0.000, 0.000, 0.500) and Ge at (0.250, 0.250, 0.250).

As for the magnetization: 1.9 μB/f.u. As for the distance to the lowest polymorph of the same formula: 0.007 eV/atom.



[6]
This record from the Open Quantum Materials Database describes a relaxed structure of Dy2TmSn3Ir2Pd. The functional is PBE-GGA.

The space group is Amm2 (No. 38) and the conventional cell measures 3.820, 13.173 and 7.621 Å, with angles of 90.00, 90.00 and 90.00 degrees. Symmetry generates all atoms from Dy at (0.000, 0.203, 0.000), Tm at (0.000, 0.000, 0.389), Sn at (0.500, 0.000, 0.064), Sn at (0.500, 0.133, 0.663), Ir at (0.500, 0.165, 0.297) and Pd at (0.000, 0.000, 0.794).

Its electronic total energy is -6.2650 eV/atom. As for the magnetization: 0.0 μB/f.u.



[7]
This record from the Open Quantum Materials Database describes a relaxed structure of NbAgF3. The functional is PBE-GGA.

The space group is Pnma (No. 62) and the conventional cell measures 6.223, 8.071 and 5.311 Å, with angles of 90.00, 90.00 and 90.00 degrees. Symmetry generates all atoms from Nb at (0.000, 0.000, 0.000), Ag at (0.063, 0.250, 0.371), F at (0.028, 0.750, 0.164) and F at (0.190, 0.023, 0.663).

As for the magnetization: 1.6 μB/f.u. As for the distance to the lowest polymorph of the same formula: 0.049 eV/atom.



[8]
This record from the Open Quantum Materials Database describes a relaxed structure of LiZrTl2Cl6. The functional is PBE-GGA.

The space group is Fm-3m (No. 225) and the conventional cell measures 10.116, 10.116 and 10.116 Å, with angles of 90.00, 90.00 and 90.00 degrees. Symmetry generates all atoms from Li at (0.000, 0.000, 0.000), Zr at (0.000, 0.000, 0.500), Tl at (0.250, 0.250, 0.250) and Cl at (0.000, 0.000, 0.249).

Its electronic total energy is -4.0438 eV/atom. As for the magnetization: 1.0 μB/f.u.



[9]
This record from the Open Quantum Materials Database describes a relaxed structure of KNdHgS3. The functional is PBE-GGA.

The space group is P2_1/m (No. 11) and the conventional cell measures 8.131, 4.213 and 10.483 Å, with angles of 90.00, 106.15 and 90.00 degrees. Symmetry generates all atoms from K at (0.239, 0.250, 0.221), Nd at (0.191, 0.750, 0.630), Hg at (0.403, 0.250, 0.885), S at (0.041, 0.750, 0.360), S at (0.253, 0.750, 0.943) and S at (0.439, 0.250, 0.655).

Its electronic total energy is -4.3006 eV/atom. As for the magnetization: 0.0 μB/f.u.



[10]
This record from the Open Quantum Materials Database describes a relaxed structure of Er2PdO4. The functional is PBE-GGA.

The space group is P4/ncc (No. 130, origin choice 2) and the conventional cell measures 7.792, 7.792 and 6.136 Å, with angles of 90.00, 90.00 and 90.00 degrees. Symmetry generates all atoms from Er at (0.070, 0.570, 0.250), Pd at (0.250, 0.250, 0.061) and O at (0.004, 0.679, 0.920).

Its electronic total energy is -7.5664 eV/atom. As for the magnetization: 0.0 μB/f.u.



[11]
This record from the Open Quantum Materials Database describes a relaxed structure of PrSm2Si2Ni4Ge2. The functional is PBE-GGA.

The space group is Immm (No. 71) and the conventional cell measures 4.089, 4.138 and 23.593 Å, with angles of 90.00, 90.00 and 90.00 degrees. Symmetry generates all atoms from Pr at (0.000, 0.000, 0.000), Sm at (0.000, 0.500, 0.152), Si at (0.000, 0.500, 0.299), Ni at (0.000, 0.000, 0.249), Ni at (0.000, 0.500, 0.396) and Ge at (0.000, 0.000, 0.445).

Its electronic total energy is -5.9208 eV/atom. As for the magnetization: 0.0 μB/f.u.



[12]
This record from the Open Quantum Materials Database describes a relaxed structure of Na3Au. The functional is PBE-GGA.

The space group is P6_3cm (No. 185) and the conventional cell measures 8.7159, 8.7159 and 9.0476 Å, with angles of 90.00, 90.00 and 120.00 degrees. Symmetry generates all atoms from Na at (0.0000, 0.0000, 0.0000), Na at (0.0000, 0.2795, 0.7541), Na at (0.0000, 0.3777, 0.0929), Na at (0.3333, 0.6667, 0.3659) and Au at (0.0000, 0.3267, 0.4235).

Its electronic total energy is -2.0078 eV/atom.



Going through the records in order, we get mass density values of 7.35; 12.41; 9.69; 9.21; 7.49; 11.61; 6.42; 4.62; 4.62; 9.00; 7.30; 4.45 g cm⁻³.